LiTb2P3Rh4: relaxed, PBE-GGA.

CIF file:
```
data_LiTb2P3Rh4
_cell_length_a 4.021
_cell_length_b 4.021
_cell_length_c 9.847
_cell_angle_alpha 90.00
_cell_angle_beta 90.00
_cell_angle_gamma 90.00
_space_group_name_H-M_alt 'P -4 m 2'
_space_group_IT_number 115
loop_
_space_group_symop_operation_xyz
'x,y,z'
'y,-x,-z'
'-x,-y,z'
'-y,x,-z'
'-x,y,z'
'-y,-x,-z'
'x,-y,z'
'y,x,-z'
loop_
_atom_site_label
_atom_site_type_symbol
_atom_site_fract_x
_atom_site_fract_y
_atom_site_fract_z
Li1 Li 0.000 0.000 0.000
Tb1 Tb 0.000 0.500 0.753
P1 P 0.000 0.500 0.360
P2 P 0.500 0.500 0.000
Rh1 Rh 0.000 0.000 0.500
Rh2 Rh 0.000 0.500 0.129
Rh3 Rh 0.500 0.500 0.500
```

As for the formation energy from the elements: -1067 meV per atom. The raw total energy comes out at -6.748 eV per atom.